No. 1
DFT (PBE) results for a relaxed Y3Zn2Os crystal.

```
Y3Zn2Os
1.0
2.474 -7.427 0.000
2.474 7.427 0.000
0.000 0.000 7.160
Y Zn Os
6 4 2
Direct
0.000 0.000 0.239
0.000 0.000 0.761
0.330 0.670 0.234
0.330 0.670 0.766
0.670 0.330 0.234
0.670 0.330 0.766
0.166 0.834 0.500
0.500 0.500 0.000
0.500 0.500 0.500
0.834 0.166 0.500
0.164 0.836 0.000
0.836 0.164 0.000
```

Magnetic moment in μB/cell: 0.00
DFT formation energy in eV per formula unit: -1.953
Symmetry: No. 65

---

No. 2
DFT (PBE) results for a relaxed Y2ZrOs crystal.

```
Y2ZrOs
1.0
3.013 -4.863 0.000
3.013 4.863 0.000
-1.053 0.000 3.042
Y Zr Os
2 1 1
Direct
0.000 0.500 0.000
0.500 0.000 0.000
0.000 0.000 0.500
0.500 0.500 0.500
```

Magnetic moment in μB/cell: 0.00
DFT formation energy in eV per formula unit: 1.149
Relative energy among the computed polymorphs in meV per atom: 456
Symmetry: No. 12

---

No. 3
DFT (PBE) results for a relaxed YZrOs2 crystal.

```
YZrOs2
1.0
-1.984 1.984 4.832
1.984 -1.984 4.832
1.984 1.984 -4.832
Y Zr Os
1 1 2
Direct
0.000 0.000 0.000
0.250 0.750 0.500
0.500 0.500 0.000
0.750 0.250 0.500
```

Magnetic moment in μB/cell: 0.00
DFT formation energy in eV per formula unit: 0.409
Symmetry: No. 119